1.
## UBeCo (PBE-GGA)

Data for an optimized crystal structure of UBeCo.

Properties
Spin magnetization, μB per formula unit: 1.629
Offset from the most stable computed form, meV/atom: 0
Raw total energy, eV/atom: -6.958
Space group: F-43m

a = 4.144 Å, b = 4.144 Å, c = 4.144 Å
α = 60.00°, β = 60.00°, γ = 60.00°
Fractional coordinates of all 3 atoms:
Be1 0.250 0.250 0.250
Co1 0.000 0.000 0.000
U1 0.750 0.750 0.750

---

2.
## Pr2PIBr (PBE-GGA)

Data for an optimized crystal structure of Pr2PIBr.

Properties
Spin magnetization, μB per formula unit: 0.006
Raw total energy, eV/atom: -5.283
Space group: P3m1

a = 4.243 Å, b = 4.243 Å, c = 11.142 Å
α = 90.00°, β = 90.00°, γ = 120.00°
Fractional coordinates of all 5 atoms:
Br1 0.667 0.333 0.315
I1 0.333 0.667 0.670
P1 0.000 0.000 0.005
Pr1 0.333 0.667 0.148
Pr2 0.667 0.333 0.862

---

3.
## GePbW4C2 (PBE-GGA)

Data for an optimized crystal structure of GePbW4C2.

Properties
Spin magnetization, μB per formula unit: 0.011
Raw total energy, eV/atom: -9.499
Space group: P-6m2

a = 3.214 Å, b = 3.214 Å, c = 13.118 Å
α = 90.00°, β = 90.00°, γ = 120.00°
Fractional coordinates of all 8 atoms:
C1 0.333 0.667 0.235
C2 0.333 0.667 0.765
Ge1 0.000 0.000 0.000
Pb1 0.667 0.333 0.500
W1 0.667 0.333 0.146
W2 0.000 0.000 0.313
W3 0.000 0.000 0.687
W4 0.667 0.333 0.854

---

4.
## CdPAuO (PBE-GGA)

Data for an optimized crystal structure of CdPAuO.

Properties
Offset from the most stable computed form, meV/atom: 14
Raw total energy, eV/atom: -3.752
Space group: Pmc2_1

a = 3.500 Å, b = 7.224 Å, c = 5.412 Å
α = 90.00°, β = 90.00°, γ = 90.00°
Fractional coordinates of all 8 atoms:
Au1 0.500 0.252 0.450
Au2 0.500 0.748 0.950
Cd1 0.000 0.155 0.031
Cd2 0.000 0.845 0.531
O1 0.500 0.943 0.318
O2 0.500 0.057 0.818
P1 0.000 0.470 0.455
P2 0.000 0.530 0.955

---

5.
## Tl2BIr (PBE-GGA)

Data for an optimized crystal structure of Tl2BIr.

Properties
Spin magnetization, μB per formula unit: 0.006
Raw total energy, eV/atom: -3.690
Space group: F-43m

a = 4.746 Å, b = 4.746 Å, c = 4.746 Å
α = 60.00°, β = 60.00°, γ = 60.00°
Fractional coordinates of all 4 atoms:
B1 0.750 0.750 0.750
Ir1 0.500 0.500 0.500
Tl1 0.000 0.000 0.000
Tl2 0.250 0.250 0.250

---

6.
## ErB4Ir (PBE-GGA)

Data for an optimized crystal structure of ErB4Ir.

Properties
Spin magnetization, μB per formula unit: 0.001
Offset from the most stable computed form, meV/atom: 26
Raw total energy, eV/atom: -6.888
Space group: Immm

a = 4.770 Å, b = 4.770 Å, c = 4.770 Å
α = 141.14°, β = 112.93°, γ = 80.31°
Fractional coordinates of all 6 atoms:
B1 0.586 0.257 0.329
B2 0.073 0.743 0.329
B3 0.927 0.257 0.671
B4 0.414 0.743 0.671
Er1 0.000 0.000 0.000
Ir1 0.500 0.500 0.000

---

7.
## AgBr2 (PBE-GGA)

Data for an optimized crystal structure of AgBr2.

Properties
Raw total energy, eV/atom: -2.054
Space group: Fd-3m

a = 8.305 Å, b = 8.305 Å, c = 8.305 Å
α = 60.00°, β = 60.00°, γ = 60.00°
Fractional coordinates of all 6 atoms:
Ag1 0.250 0.250 0.250
Ag2 0.500 0.500 0.500
Br1 0.875 0.375 0.375
Br2 0.375 0.875 0.375
Br3 0.375 0.375 0.375
Br4 0.375 0.375 0.875

---

8.
## GdTm2Cd3Ir2Pt (PBE-GGA)

Data for an optimized crystal structure of GdTm2Cd3Ir2Pt.

Properties
Calculated formation energy, kJ/mol of atoms: -64
Spin magnetization, μB per formula unit: 0.003
Raw total energy, eV/atom: -5.115
Space group: Amm2

a = 3.923 Å, b = 7.486 Å, c = 7.486 Å
α = 120.19°, β = 90.00°, γ = 90.00°
Fractional coordinates of all 9 atoms:
Cd1 0.500 0.261 0.261
Cd2 0.500 0.000 0.740
Cd3 0.500 0.740 0.000
Gd1 0.000 0.592 0.592
Ir1 0.500 0.668 0.330
Ir2 0.500 0.330 0.668
Pt1 0.000 0.004 0.004
Tm1 0.000 0.407 0.000
Tm2 0.000 0.000 0.407

---

9.
## AcTmNO (PBE-GGA)

Data for an optimized crystal structure of AcTmNO.

Properties
Spin magnetization, μB per formula unit: 0.150
Offset from the most stable computed form, meV/atom: 31
Raw total energy, eV/atom: -7.501
Space group: Pmc2_1

a = 4.019 Å, b = 5.846 Å, c = 6.926 Å
α = 90.00°, β = 90.00°, γ = 90.00°
Fractional coordinates of all 8 atoms:
Ac1 0.000 0.476 0.337
Ac2 0.000 0.976 0.663
N1 0.000 0.939 0.312
N2 0.000 0.439 0.688
O1 0.500 0.350 0.112
O2 0.500 0.850 0.888
Tm1 0.500 0.989 0.176
Tm2 0.500 0.489 0.824

---

10.
## Nb2BiAsOs2 (PBE-GGA)

Data for an optimized crystal structure of Nb2BiAsOs2.

Properties
Spin magnetization, μB per formula unit: 0.000
Raw total energy, eV/atom: -8.610
Space group: Pm

a = 10.715 Å, b = 4.363 Å, c = 10.777 Å
α = 90.00°, β = 109.55°, γ = 90.00°
Fractional coordinates of all 24 atoms:
As1 0.750 0.000 0.005
As2 0.124 0.500 0.128
As3 0.497 0.000 0.249
As4 0.251 0.000 0.494
Bi1 0.874 0.500 0.371
Bi2 0.624 0.500 0.627
Bi3 0.005 0.000 0.755
Bi4 0.374 0.500 0.877
Nb1 0.250 0.000 0.011
Nb2 0.620 0.500 0.125
Nb3 0.004 0.000 0.250
Nb4 0.372 0.500 0.372
Nb5 0.745 0.000 0.494
Nb6 0.130 0.500 0.616
Nb7 0.503 0.000 0.750
Nb8 0.878 0.500 0.887
Os1 0.003 0.000 0.014
Os2 0.369 0.500 0.131
Os3 0.737 0.000 0.241
Os4 0.131 0.500 0.371
Os5 0.492 0.000 0.490
Os6 0.875 0.500 0.623
Os7 0.255 0.000 0.735
Os8 0.636 0.500 0.886

---

11.
## Tm4SnC2S (PBE-GGA)

Data for an optimized crystal structure of Tm4SnC2S.

Properties
Spin magnetization, μB per formula unit: 0.003
Raw total energy, eV/atom: -6.509
Space group: P-6m2

a = 3.605 Å, b = 3.605 Å, c = 14.126 Å
α = 90.00°, β = 90.00°, γ = 120.00°
Fractional coordinates of all 8 atoms:
C1 0.667 0.333 0.274
C2 0.667 0.333 0.726
S1 0.000 0.000 0.500
Sn1 0.333 0.667 0.000
Tm1 0.000 0.000 0.183
Tm2 0.333 0.667 0.368
Tm3 0.333 0.667 0.632
Tm4 0.000 0.000 0.817

---

12.
## Ta4Co9 (PBE-GGA)

Data for an optimized crystal structure of Ta4Co9.

Properties
Calculated formation energy, kJ/mol of atoms: -5
Spin magnetization, μB per formula unit: 3.411
Offset from the most stable computed form, meV/atom: 90
Raw total energy, eV/atom: -8.618
Space group: R-3m

a = 8.976 Å, b = 8.976 Å, c = 8.976 Å
α = 30.41°, β = 30.41°, γ = 30.41°
Each line ends with the local moment (μB).
Fractional coordinates of all 13 atoms:
Co1 0.000 0.000 0.000  -0.34
Co2 0.590 0.090 0.090  0.22
Co3 0.090 0.590 0.090  0.25
Co4 0.166 0.166 0.166  1.47
Co5 0.910 0.910 0.410  0.22
Co6 0.090 0.090 0.590  0.22
Co7 0.834 0.834 0.834  1.47
Co8 0.910 0.410 0.910  0.25
Co9 0.410 0.910 0.910  0.22
Ta1 0.347 0.347 0.347  -0.09
Ta2 0.452 0.452 0.452  -0.09
Ta3 0.548 0.548 0.548  -0.09
Ta4 0.653 0.653 0.653  -0.09